4
Lattice="2.964 0.000 0.001 0.000 4.429 0.000 -0.158 0.000 4.555" Properties=species:S:1:pos:R:3 comment="NiTeRh2 (GGA-PBEsol, optimized geometry)" rho_g_cm3=10.892 raw_formation_energy_ev_per_atom=0.183 energy_ev_per_atom=-6.307 magmom_total_mub_per_cell=0.0 spacegroup="P2/m (10)" pbc="T T T"
Rh 2.111 0.000 3.376
Rh 0.695 0.000 1.179
Ni -0.079 2.214 2.277
Te 1.482 2.214 0.000